(1)
{
  "formula": "GeSbS2Cl",
  "functional": "GGA-PBE",
  "state": "relaxed",
  "sg": "P4/mmm (123)",
  "total_energy_ev_per_cell": -18.14,
  "polymorph_energy_mev_per_atom": 0.0,
  "lattice_angstrom": [[4.8512, 0.0000, 0.0000], [0.0000, 4.8512, 0.0000], [0.0000, 0.0000, 4.7239]],
  "species": ["Sb", "Ge", "S", "S", "Cl"],
  "frac_coords": [[0.5000, 0.5000, 0.5000], [0.0000, 0.0000, 0.0000], [0.0000, 0.5000, 0.0000], [0.5000, 0.0000, 0.0000], [0.0000, 0.0000, 0.5000]]
}

=====

(2)
{
  "formula": "GeSbSCl2",
  "functional": "GGA-PBE",
  "state": "relaxed",
  "sg": "P4/mmm (123)",
  "total_energy_ev_per_cell": -15.97,
  "polymorph_energy_mev_per_atom": 90.9,
  "lattice_angstrom": [[5.2394, 0.0000, 0.0000], [0.0000, 5.2394, 0.0000], [0.0000, 0.0000, 5.2788]],
  "species": ["Sb", "Ge", "S", "Cl", "Cl"],
  "frac_coords": [[0.0000, 0.0000, 0.0000], [0.5000, 0.5000, 0.5000], [0.0000, 0.0000, 0.5000], [0.0000, 0.5000, 0.0000], [0.5000, 0.0000, 0.0000]]
}

=====

(3)
{
  "formula": "GeSbS2Cl",
  "functional": "GGA-PBE",
  "state": "relaxed",
  "sg": "P4/mmm (123)",
  "total_energy_ev_per_cell": -17.54,
  "polymorph_energy_mev_per_atom": 120.0,
  "lattice_angstrom": [[-0.7111, 4.2553, -2.8131], [-3.6584, -2.4048, -2.7129], [-3.4839, 1.5912, 3.2875]],
  "species": ["Sb", "Ge", "S", "S", "Cl"],
  "frac_coords": [[0.0000, 0.0000, 0.0000], [0.5000, 0.5000, 0.5000], [0.0000, 0.5000, 0.0000], [0.5000, 0.0000, 0.0000], [0.0000, 0.0000, 0.5000]]
}

=====

(4)
{
  "formula": "GeSbSCl2",
  "functional": "GGA-PBE",
  "state": "relaxed",
  "sg": "P4/mmm (123)",
  "total_energy_ev_per_cell": -16.03,
  "polymorph_energy_mev_per_atom": 78.1,
  "lattice_angstrom": [[-3.1777, -3.2903, -0.6478], [3.0747, -3.6945, 3.6819], [-2.3961, 1.6034, 3.6099]],
  "species": ["Sb", "Ge", "S", "Cl", "Cl"],
  "frac_coords": [[0.0000, 0.5000, 0.0000], [0.0000, 0.0000, 0.0000], [0.5000, 0.5000, 0.5000], [0.0000, 0.0000, 0.5000], [0.5000, 0.0000, 0.0000]]
}